Entry 1:
{"formula": "NaEr2Sn3Te6", "functional": "PBE", "state": "optimized geometry", "lattice_angstrom": [[4.406, 0.000, 0.000], [0.000, 9.163, 0.258], [-2.203, -2.719, 9.446]], "species": ["Te", "Te", "Te", "Te", "Te", "Te", "Sn", "Sn", "Sn", "Er", "Er", "Na"], "frac_coords": [[0.670, 0.582, 0.339], [0.330, 0.418, 0.661], [0.325, 0.893, 0.650], [0.992, 0.744, 0.984], [0.675, 0.107, 0.350], [0.008, 0.256, 0.016], [0.842, 0.154, 0.684], [0.500, 0.500, 0.000], [0.158, 0.846, 0.316], [0.832, 0.657, 0.664], [0.168, 0.343, 0.336], [0.500, 0.000, 0.000]], "dft_energy_ev_per_cell": -49.8, "magmom_total_mub_per_atom": 0.00}

Entry 2:
{"formula": "BaTlIr2", "functional": "PBE", "state": "optimized geometry", "lattice_angstrom": [[4.731, -0.007, -0.008], [2.372, 4.094, -0.008], [2.388, 1.374, 5.709]], "species": ["Ir", "Ir", "Ba", "Tl"], "frac_coords": [[0.427, 0.427, 0.720], [0.073, 0.073, 0.780], [0.250, 0.250, 0.250], [0.750, 0.750, 0.750]], "dft_energy_ev_per_cell": -21.7, "formation_energy_mev_per_atom": 77.3, "magmom_total_mub_per_atom": 0.00}

Entry 3:
{"formula": "Na2CaTl4In", "functional": "PBE", "state": "optimized geometry", "lattice_angstrom": [[-1.108, -4.412, -2.097], [3.523, 3.752, -3.774], [13.723, -6.476, 6.375]], "species": ["Na", "Na", "Na", "Na", "Ca", "Ca", "Tl", "Tl", "Tl", "Tl", "Tl", "Tl", "Tl", "Tl", "In", "In"], "frac_coords": [[0.708, 0.416, 0.424], [0.292, 0.584, 0.576], [0.292, 0.584, 0.924], [0.708, 0.416, 0.076], [0.927, 0.853, 0.250], [0.073, 0.147, 0.750], [0.596, 0.193, 0.250], [0.404, 0.807, 0.750], [0.000, 0.000, 0.500], [0.592, 0.184, 0.603], [0.000, 0.000, 0.000], [0.408, 0.816, 0.397], [0.592, 0.184, 0.897], [0.408, 0.816, 0.103], [0.236, 0.472, 0.250], [0.764, 0.528, 0.750]], "dft_energy_ev_per_cell": -35.9, "formation_energy_mev_per_atom": -137.9, "magmom_total_mub_per_atom": 0.00}

Entry 4:
{"formula": "TlGePS2", "functional": "PBE", "state": "optimized geometry", "lattice_angstrom": [[4.853, 0.000, 0.000], [0.000, 4.853, 0.000], [0.000, 0.000, 4.816]], "species": ["P", "S", "S", "Tl", "Ge"], "frac_coords": [[0.000, 0.000, 0.500], [0.500, 0.000, 0.000], [0.000, 0.500, 0.000], [0.500, 0.500, 0.500], [0.000, 0.000, 0.000]], "dft_energy_ev_per_cell": -18.9, "magmom_total_mub_per_atom": 0.17}

Entry 5:
{"formula": "Ag12Se3Cl5", "functional": "PBE", "state": "optimized geometry", "lattice_angstrom": [[-8.784, 10.221, 2.326], [-2.342, -10.134, 8.881], [12.804, 4.551, 1.548]], "species": ["Ag", "Ag", "Ag", "Ag", "Ag", "Ag", "Ag", "Ag", "Ag", "Ag", "Ag", "Ag", "Ag", "Ag", "Ag", "Ag", "Ag", "Ag", "Ag", "Ag", "Ag", "Ag", "Ag", "Ag", "Ag", "Ag", "Ag", "Ag", "Ag", "Ag", "Ag", "Ag", "Ag", "Ag", "Ag", "Ag", "Ag", "Ag", "Ag", "Ag", "Ag", "Ag", "Ag", "Ag", "Ag", "Ag", "Ag", "Ag", "Se", "Se", "Se", "Se", "Se", "Se", "Se", "Se", "Se", "Se", "Se", "Se", "Cl", "Cl", "Cl", "Cl", "Cl", "Cl", "Cl", "Cl", "Cl", "Cl", "Cl", "Cl", "Cl", "Cl", "Cl", "Cl", "Cl", "Cl", "Cl", "Cl"], "frac_coords": [[0.666, 0.431, 0.574], [0.857, 0.592, 0.926], [0.834, 0.908, 0.265], [0.569, 0.235, 0.143], [0.235, 0.666, 0.092], [0.265, 0.857, 0.931], [0.069, 0.426, 0.834], [0.926, 0.834, 0.569], [0.574, 0.643, 0.408], [0.074, 0.166, 0.431], [0.592, 0.735, 0.666], [0.926, 0.092, 0.857], [0.931, 0.357, 0.265], [0.357, 0.931, 0.765], [0.735, 0.143, 0.069], [0.074, 0.908, 0.143], [0.643, 0.574, 0.908], [0.834, 0.926, 0.069], [0.592, 0.857, 0.426], [0.643, 0.069, 0.235], [0.143, 0.408, 0.074], [0.166, 0.074, 0.931], [0.666, 0.235, 0.592], [0.092, 0.926, 0.357], [0.265, 0.408, 0.834], [0.431, 0.666, 0.074], [0.069, 0.643, 0.735], [0.408, 0.143, 0.574], [0.426, 0.069, 0.334], [0.735, 0.592, 0.166], [0.334, 0.765, 0.408], [0.431, 0.765, 0.857], [0.426, 0.357, 0.592], [0.334, 0.569, 0.426], [0.765, 0.431, 0.357], [0.908, 0.834, 0.765], [0.143, 0.735, 0.569], [0.574, 0.931, 0.666], [0.569, 0.334, 0.926], [0.765, 0.334, 0.908], [0.357, 0.426, 0.092], [0.908, 0.074, 0.643], [0.092, 0.166, 0.235], [0.166, 0.092, 0.735], [0.857, 0.265, 0.431], [0.931, 0.574, 0.166], [0.235, 0.569, 0.643], [0.408, 0.265, 0.334], [0.875, 0.125, 0.250], [0.375, 0.625, 0.250], [0.625, 0.375, 0.750], [0.125, 0.250, 0.875], [0.375, 0.750, 0.625], [0.875, 0.750, 0.125], [0.125, 0.875, 0.750], [0.250, 0.625, 0.875], [0.625, 0.250, 0.375], [0.750, 0.875, 0.625], [0.250, 0.125, 0.375], [0.750, 0.375, 0.125], [0.500, 0.000, 0.500], [0.625, 0.875, 0.250], [0.500, 0.500, 0.000], [0.875, 0.625, 0.750], [0.375, 0.250, 0.125], [0.000, 0.000, 0.500], [0.250, 0.875, 0.125], [0.000, 0.500, 0.000], [0.625, 0.750, 0.875], [0.125, 0.750, 0.375], [0.875, 0.250, 0.625], [0.000, 0.000, 0.000], [0.500, 0.000, 0.000], [0.125, 0.375, 0.250], [0.250, 0.375, 0.625], [0.375, 0.125, 0.750], [0.000, 0.500, 0.500], [0.750, 0.625, 0.375], [0.500, 0.500, 0.500], [0.750, 0.125, 0.875]], "dft_energy_ev_per_cell": -228.9, "magmom_total_mub_per_atom": 0.00}

Entry 6:
{"formula": "Sm8Al2Te", "functional": "PBE", "state": "optimized geometry", "lattice_angstrom": [[-1.514, 0.215, 4.759], [1.256, -6.849, 0.709], [9.387, 4.128, 0.174]], "species": ["Al", "Al", "Sm", "Sm", "Sm", "Sm", "Sm", "Sm", "Sm", "Sm", "Te"], "frac_coords": [[0.187, 0.746, 0.374], [0.813, 0.254, 0.626], [0.660, 0.980, 0.320], [0.031, 0.760, 0.062], [0.969, 0.240, 0.938], [0.214, 0.312, 0.428], [0.600, 0.469, 0.201], [0.400, 0.531, 0.799], [0.340, 0.020, 0.680], [0.786, 0.688, 0.572], [0.500, 0.000, 0.000]], "dft_energy_ev_per_cell": -51.8, "magmom_total_mub_per_atom": 0.00}